An optimized crystal structure of YFeF5. Source: Alexandria via LeMat-Bulk, functional GGA+U.

Lattice parameters (Å, degrees): 5.802 5.802 5.802 137.33 106.29 89.09
Element x y z (fractional)
Y (0.500, 0.500, 0.000)
Fe (0.000, 0.000, 0.000)
F (0.185, 0.500, 0.685)
F (0.815, 0.500, 0.315)
F (0.767, 0.767, 0.000)
F (0.233, 0.233, 0.000)
F (0.500, 0.000, 0.500)

Values from the calculation:
- spin magnetization (μB/cell) = 4.00
- polymorph energy (0 for the lowest one) (meV/atom) = 117
- E (Ry/atom) = -0.4661
- calculated density (Mg/m³) = 3.28
- space group = Immm, No. 71